AcIn3NiRh | the Alexandria database | PBE-GGA | optimized geometry; calculated density = 8.1 Mg/m³; magnetization = 0.0 μB per formula unit; N(E_F) = 7.212 states/eV/cell; space-group type = Cmcm; crystal system = orthorhombic; ΔE_f = -266.3 meV/atom; E = -54.1 eV per cell
1.0
-7.301 -0.522 0.966
-0.918 -0.596 -7.263
0.903 -5.187 4.025
In Ac Ni Rh
6 2 2 2
direct
0.500 0.760 0.000
0.000 0.240 0.000
0.000 0.760 0.000
0.500 0.240 0.000
0.750 0.761 0.522
0.250 0.239 0.478
0.750 0.258 0.517
0.250 0.742 0.483
0.250 0.013 0.025
0.750 0.987 0.975
0.750 0.525 0.050
0.250 0.475 0.950


AcInNiRh | the Alexandria database | PBE-GGA | optimized geometry; calculated density = 9.8 Mg/m³; magnetization = 0.0 μB per formula unit; N(E_F) = 3.668 states/eV/cell; space-group type = F-43m; crystal system = cubic; ΔE_f = -257.3 meV/atom; E = -21.0 eV per cell
1.0
-1.183 2.573 4.041
0.168 -2.157 4.435
3.507 1.271 3.230
Rh Ac Ni In
1 1 1 1
direct
0.000 0.000 0.000
0.250 0.250 0.250
0.500 0.500 0.500
0.750 0.750 0.750


Ac2InNi4Sb3 | the Alexandria database | PBE-GGA | optimized geometry; calculated density = 9.1 Mg/m³; magnetization = 0.0 μB per formula unit; N(E_F) = 6.419 states/eV/cell; ΔE_f (raw) = -6.2 eV/f.u.; space-group type = P-4m2; crystal system = tetragonal; E = -52.6 eV per cell
1.0
-3.428 2.350 -1.814
-2.929 -3.129 1.482
-1.111 5.264 8.916
Ni Sb Ac In
4 3 2 1
direct
0.500 0.000 0.629
0.000 0.000 0.000
0.000 0.500 0.371
0.500 0.500 0.000
0.500 0.000 0.876
0.000 0.000 0.500
0.000 0.500 0.124
0.000 0.500 0.763
0.500 0.000 0.237
0.500 0.500 0.500


Ac2ScIn12Ni3 | the Alexandria database | PBE-GGA | optimized geometry; calculated density = 6.7 Mg/m³; magnetization = 0.0 μB per formula unit; N(E_F) = 11.147 states/eV/cell; space-group type = R-3m; crystal system = trigonal; ΔE_f = 0.2 meV/atom; E = -64.7 eV per cell
1.0
-0.639 8.543 -0.145
-5.070 2.894 -6.272
-7.563 2.863 2.831
In Ni Ac Sc
12 3 2 1
direct
0.280 0.897 0.280
0.720 0.720 0.103
0.414 0.853 0.853
0.853 0.414 0.853
0.147 0.147 0.586
0.897 0.280 0.280
0.853 0.853 0.414
0.720 0.103 0.720
0.586 0.147 0.147
0.103 0.720 0.720
0.280 0.280 0.897
0.147 0.586 0.147
0.000 0.000 0.500
0.000 0.500 0.000
0.500 0.000 0.000
0.413 0.413 0.413
0.587 0.587 0.587
0.000 0.000 0.000


Ac3In2Si2Ni4 | the Alexandria database | PBE-GGA | optimized geometry; calculated density = 8.0 Mg/m³; magnetization = 0.0 μB per formula unit; N(E_F) = 9.409 states/eV/cell; ΔE_f (raw) = -4.3 eV/f.u.; space-group type = P-3m1; crystal system = trigonal; E = -56.1 eV per cell
1.0
4.233 0.000 0.000
-2.117 3.666 0.000
0.000 0.000 16.170
In Ac Ni Si
2 3 4 2
direct
0.667 0.333 0.440
0.333 0.667 0.560
0.000 0.000 0.000
0.000 0.000 0.269
0.000 0.000 0.731
0.667 0.333 0.610
0.333 0.667 0.861
0.667 0.333 0.139
0.333 0.667 0.390
0.333 0.667 0.136
0.667 0.333 0.864


Ac2In4NiSn2 | the Alexandria database | PBE-GGA | optimized geometry; calculated density = 8.2 Mg/m³; magnetization = 0.0 μB per formula unit; N(E_F) = 5.378 states/eV/cell; space-group type = I4/mmm; crystal system = tetragonal; ΔE_f = -398.9 meV/atom; E = -36.5 eV per cell
1.0
-4.102 5.271 2.238
-2.128 -6.697 0.489
5.829 -1.795 3.526
In Sn Ac Ni
4 2 2 1
direct
0.543 0.271 0.271
0.000 0.729 0.271
0.000 0.271 0.729
0.457 0.729 0.729
0.000 0.262 0.262
0.000 0.738 0.738
0.500 0.750 0.250
0.500 0.250 0.750
0.000 0.000 0.000


AcIn2Ni2Sn | the Alexandria database | PBE-GGA | optimized geometry; calculated density = 8.0 Mg/m³; magnetization = 0.0 μB per formula unit; N(E_F) = 3.930 states/eV/cell; space-group type = P4/mmm; crystal system = tetragonal; ΔE_f = -115.8 meV/atom; E = -25.8 eV per cell
1.0
4.763 0.000 0.000
0.000 4.763 0.000
0.000 0.000 6.358
Ni Sn In Ac
2 1 2 1
direct
0.500 0.000 0.000
0.000 0.500 0.000
0.000 0.000 0.000
0.500 0.500 0.754
0.500 0.500 0.246
0.000 0.000 0.500


Ac2InNi3Sn4 | the Alexandria database | PBE-GGA | optimized geometry; calculated density = 8.7 Mg/m³; magnetization = 0.0 μB per formula unit; N(E_F) = 4.510 states/eV/cell; space-group type = P-4m2; crystal system = tetragonal; ΔE_f = -477.4 meV/atom; E = -49.1 eV per cell
1.0
4.569 0.000 0.000
0.000 4.569 0.000
0.000 0.000 11.126
Ni Ac Sn In
3 2 4 1
direct
0.000 0.000 0.500
0.000 0.500 0.119
0.500 0.000 0.881
0.000 0.500 0.760
0.500 0.000 0.240
0.500 0.000 0.651
0.000 0.000 0.000
0.000 0.500 0.349
0.500 0.500 0.000
0.500 0.500 0.500


> Which of these has the lowest calculated density?

Ac2ScIn12Ni3


> Look up the N(E_F) of the second one.

3.668 states/eV/cell


> Number 8 is which compound?

Ac2InNi3Sn4


> Look up the N(E_F) of the third one.

6.419 states/eV/cell